Here is an optimized crystal structure of Y2InSi from Alexandria. Energies are from GGA-PBEsol.

Results
E_form (uncorrected) in meV/atom: 15.7
VASP energy in eV per formula unit: -22.31
DOS(E_F) in states/eV per cell: 11.127

a b c (Å): 3.4257 3.4257 29.5321
angles (deg): 90.00 90.00 120.00
Space group R3m (No. 160, hexagonal axes)
Symmetry-distinct sites (fractional):
Y 0.0000 0.0000 0.0000 x3
Y 0.0000 0.0000 0.2375 x3
In 0.0000 0.0000 0.4803 x3
Si 0.0000 0.0000 0.7447 x3

---

Here is an optimized crystal structure of Y2InSi from Alexandria. Energies are from GGA-PBEsol.

Results
E_form (uncorrected) in meV/atom: -340.3
VASP energy in eV per formula unit: -23.73
DOS(E_F) in states/eV per cell: 3.760

a b c (Å): 3.4926 4.9062 5.9420
angles (deg): 90.00 90.00 90.00
Space group Pmmm (No. 47)
Symmetry-distinct sites (fractional):
Y 0.0000 0.0000 0.0000 x1
Y 0.5000 0.5000 0.5000 x1
In 0.0000 0.0000 0.5000 x1
Si 0.5000 0.5000 0.0000 x1

---

Here is an optimized crystal structure of Y2InSi from Alexandria. Energies are from GGA-PBEsol.

Results
E_form (uncorrected) in meV/atom: 70.8
VASP energy in eV per formula unit: -22.09
DOS(E_F) in states/eV per cell: 19.116

a b c (Å): 7.1971 7.1971 7.1971
angles (deg): 90.00 90.00 90.00
Space group F-43m (No. 216)
Symmetry-distinct sites (fractional):
Y 0.0000 0.0000 0.0000 x4
Y 0.2500 0.2500 0.2500 x4
In 0.2500 0.2500 0.7500 x4
Si 0.0000 0.0000 0.5000 x4

---

Here is an optimized crystal structure of Y2InSi from Alexandria. Energies are from GGA-PBEsol.

Results
E_form (uncorrected) in meV/atom: -518.1
VASP energy in eV per formula unit: -24.45
DOS(E_F) in states/eV per cell: 2.621

a b c (Å): 4.7122 4.7122 4.1270
angles (deg): 90.00 90.00 90.00
Space group P4/mmm (No. 123)
Symmetry-distinct sites (fractional):
Y 0.0000 0.5000 0.0000 x2
In 0.0000 0.0000 0.5000 x1
Si 0.5000 0.5000 0.5000 x1

---

Question: The lowest DOS(E_F) belongs to which entry?
Answer: number 4